# CaCr2AsF

A relaxed CaCr2AsF crystal (PBE with a Hubbard U, Alexandria).

Cell lengths 4.9193, 4.9601, 4.9193 Å; angles 90.00, 90.00, 90.00 degrees
With the nearest neighbours (Å) after each atom.
Positions (direct):
Cr 0.0000 0.0000 0.5000  2 As 2.46
Cr 0.5000 0.0000 0.0000  2 As 2.46
As 0.0000 0.0000 0.0000  4 Cr 2.46, 2 F 2.48
Ca 0.5000 0.5000 0.5000  4 F 3.48, 8 Cr 3.49
F 0.0000 0.5000 0.0000  2 As 2.48

Properties
The value obtained for the final energy is -24.61 eV per cell.